[1]
Computed, not measured: a relaxed structure of CdMoRu4 at the PBE-GGA level of DFT.

```
6
Lattice="0.000 3.617 3.617 3.617 0.000 3.617 3.617 3.617 0.000" Properties=species:S:1:pos:R:3 pbc="T T T"
Cd 1.808 1.808 1.808
Mo 0.000 0.000 0.000
Ru 2.714 2.714 4.520
Ru 2.714 4.520 2.714
Ru 4.520 4.520 4.520
Ru 4.520 2.714 2.714
```

- Space group: No. 216
- Total magnetic moment: 0.0003 μB/atom
- Volume: 15.77 Å³ per atom
- Raw total energy: -7.748 eV/atom

[2]
Computed, not measured: a relaxed structure of Cd4MoRu at the PBE-GGA level of DFT.

```
6
Lattice="-4.306 -0.436 3.307 -0.643 3.514 4.112 -3.971 3.723 -0.195" Properties=species:S:1:pos:R:3 pbc="T T T"
Cd -5.499 2.331 4.363
Cd -5.332 4.413 2.611
Cd -3.666 4.308 4.767
Cd -3.344 2.549 2.708
Mo -6.690 5.100 5.418
Ru 0.000 0.000 0.000
```

- Space group: No. 216
- Total magnetic moment: 0.3649 μB/atom
- Volume: 19.04 Å³ per atom
- Raw total energy: -3.262 eV/atom

[3]
Computed, not measured: a relaxed structure of CdMo2Ru2 at the PBE-GGA level of DFT.

```
10
Lattice="7.598 0.000 0.000 0.000 7.598 0.000 0.000 0.000 2.845" Properties=species:S:1:pos:R:3 pbc="T T T"
Ru 2.817 6.616 0.000
Ru 6.616 4.782 0.000
Ru 4.782 0.983 0.000
Ru 0.983 2.817 0.000
Mo 1.232 5.032 1.423
Mo 5.032 6.366 1.423
Mo 6.366 2.567 1.423
Mo 2.567 1.232 1.423
Cd 0.000 0.000 0.000
Cd 3.799 3.799 0.000
```

- Space group: No. 127
- Total magnetic moment: 0.0000 μB/atom
- Volume: 16.43 Å³ per atom
- Raw total energy: -8.068 eV/atom

[4]
Computed, not measured: a relaxed structure of CdMo2Ru2 at the PBE-GGA level of DFT.

```
10
Lattice="7.685 0.000 0.000 0.000 7.685 0.000 0.000 0.000 2.813" Properties=species:S:1:pos:R:3 pbc="T T T"
Ru 1.298 5.141 1.407
Ru 5.141 6.386 1.407
Ru 6.386 2.544 1.407
Ru 2.544 1.298 1.407
Mo 2.921 6.764 0.000
Mo 6.764 4.763 0.000
Mo 4.763 0.921 0.000
Mo 0.921 2.921 0.000
Cd 0.000 0.000 0.000
Cd 3.842 3.842 0.000
```

- Space group: No. 127
- Total magnetic moment: 0.0000 μB/atom
- Volume: 16.61 Å³ per atom
- Raw total energy: -7.989 eV/atom

[5]
Computed, not measured: a relaxed structure of CdMo2Ru at the PBE-GGA level of DFT.

```
4
Lattice="5.026 -0.010 -0.010 -2.017 4.604 -0.010 0.006 0.010 2.783" Properties=species:S:1:pos:R:3 pbc="T T T"
Cd -1.005 2.307 1.387
Mo 0.000 0.000 0.000
Mo 1.505 2.297 -0.010
Ru 2.516 0.000 1.387
```

- Space group: No. 65
- Total magnetic moment: 0.0000 μB/atom
- Volume: 16.08 Å³ per atom
- Raw total energy: -7.570 eV/atom

[6]
Computed, not measured: a relaxed structure of CdMoRu3 at the PBE-GGA level of DFT.

```
5
Lattice="4.670 0.000 0.000 0.000 4.670 0.000 0.000 0.000 4.670" Properties=species:S:1:pos:R:3 pbc="T T T"
Ru 0.000 2.335 0.000
Ru 0.000 0.000 2.335
Ru 2.335 0.000 0.000
Mo 0.000 0.000 0.000
Cd 2.335 2.335 2.335
```

- Space group: No. 221
- Total magnetic moment: 0.2566 μB/atom
- Volume: 20.36 Å³ per atom
- Raw total energy: -6.529 eV/atom

[7]
Computed, not measured: a relaxed structure of CdMo2Ru at the PBE-GGA level of DFT.

```
4
Lattice="-0.841 2.545 9.321 1.067 0.494 9.627 1.900 3.110 8.988" Properties=species:S:1:pos:R:3 pbc="T T T"
Cd 1.600 4.627 21.020
Mo 2.119 6.127 27.834
Mo 0.522 1.508 6.853
Ru 1.076 3.111 14.133
```

- Space group: No. 160
- Total magnetic moment: 0.0000 μB/atom
- Volume: 16.44 Å³ per atom
- Raw total energy: -7.681 eV/atom

[8]
Computed, not measured: a relaxed structure of CdMo2Ru at the PBE-GGA level of DFT.

```
4
Lattice="-2.540 0.766 3.143 0.731 -2.440 1.185 4.912 0.157 3.931" Properties=species:S:1:pos:R:3 pbc="T T T"
Cd 2.962 -1.329 5.409
Mo 0.852 -2.370 1.266
Mo 2.701 -1.211 2.478
Ru 0.141 -0.188 2.851
```

- Space group: No. 10
- Total magnetic moment: 0.0000 μB/atom
- Volume: 16.28 Å³ per atom
- Raw total energy: -7.695 eV/atom

[9]
Computed, not measured: a relaxed structure of CdMo2Ru at the PBE-GGA level of DFT.

```
4
Lattice="5.342 0.005 0.007 2.374 4.785 -0.007 -3.282 -3.323 2.592" Properties=species:S:1:pos:R:3 pbc="T T T"
Cd 1.494 1.940 1.292
Mo 7.538 4.679 0.000
Mo 2.975 -0.452 1.300
Ru 4.002 2.484 0.000
```

- Space group: No. 44
- Total magnetic moment: 0.0000 μB/atom
- Volume: 16.54 Å³ per atom
- Raw total energy: -7.572 eV/atom

[10]
Computed, not measured: a relaxed structure of CdMo2Ru at the PBE-GGA level of DFT.

```
8
Lattice="7.361 0.000 0.000 0.000 7.361 0.000 3.681 3.681 2.689" Properties=species:S:1:pos:R:3 pbc="T T T"
Ru 3.681 3.681 0.000
Ru 3.681 7.361 1.344
Mo 5.168 1.840 0.672
Mo 2.193 5.521 0.672
Mo 5.521 5.874 2.017
Mo 9.201 8.849 2.017
Cd 0.000 0.000 0.000
Cd 7.361 3.681 1.344
```

- Space group: No. 122
- Total magnetic moment: 0.0000 μB/atom
- Volume: 18.21 Å³ per atom
- Raw total energy: -7.204 eV/atom

[11]
Computed, not measured: a relaxed structure of CdMo2Ru at the PBE-GGA level of DFT.

```
4
Lattice="-0.834 4.768 0.866 -3.192 0.453 3.713 4.170 -2.569 -0.440" Properties=species:S:1:pos:R:3 pbc="T T T"
Cd 0.662 2.405 1.357
Mo 0.000 0.000 0.000
Mo -0.517 0.247 2.781
Ru -2.013 2.611 2.289
```

- Space group: No. 119
- Total magnetic moment: 0.0002 μB/atom
- Volume: 16.20 Å³ per atom
- Raw total energy: -7.520 eV/atom

[12]
Computed, not measured: a relaxed structure of CdMoRu2Se at the PBE-GGA level of DFT.

```
5
Lattice="4.655 0.000 0.000 0.000 5.290 0.000 0.000 0.000 4.655" Properties=species:S:1:pos:R:3 pbc="T T T"
Ru 0.000 0.000 2.328
Ru 2.328 0.000 0.000
Mo 0.000 0.000 0.000
Se 2.328 2.645 2.328
Cd 0.000 2.645 0.000
```

- Space group: No. 123
- Total magnetic moment: 0.3117 μB/atom
- Raw formation energy: 1.441 eV/atom
- Volume: 22.93 Å³ per atom
- Raw total energy: -5.315 eV/atom